(1)
VASP calculation (GGA-PBE) on a relaxed structure of BaReNi2.

## Properties
Energy above the most stable polymorph in this dataset = 0.696 eV/atom
DFT formation energy = 0.904 eV/atom
Size of the total moment = 1.38 μB/f.u.

Cell: 4.951 4.951 2.880 Å, 90.00 90.00 89.97°
Element x y z (fractional)
Ni 0.000 0.000 0.000
Ni 0.500 0.500 0.000
Re 0.500 0.000 0.500
Ba 0.000 0.500 0.500


(2)
VASP calculation (GGA-PBE) on a relaxed structure of Ba2ReNi.

## Properties
Energy above the most stable polymorph in this dataset = 0.000 eV/atom
DFT formation energy = 0.558 eV/atom
Size of the total moment = 0.04 μB/f.u.

Cell: 4.256 5.002 6.240 Å, 66.35 90.00 90.00°
Element x y z (fractional)
Re 0.500 0.585 0.705
Ni 0.000 0.666 0.542
Ba 0.500 0.270 0.335
Ba 0.000 0.979 0.918


(3)
VASP calculation (GGA-PBE) on a relaxed structure of BaRe2Ni.

## Properties
Energy above the most stable polymorph in this dataset = 0.906 eV/atom
DFT formation energy = 1.356 eV/atom
Size of the total moment = 0.12 μB/f.u.

Cell: 5.523 3.780 3.780 Å, 90.00 90.00 90.00°
Element x y z (fractional)
Ba 0.500 0.500 0.000
Ni 0.500 0.000 0.500
Re 0.000 0.500 0.500
Re 0.000 0.000 0.000


(4)
VASP calculation (GGA-PBE) on a relaxed structure of BaRe2Ni.

## Properties
Energy above the most stable polymorph in this dataset = 0.631 eV/atom
DFT formation energy = 1.081 eV/atom
Size of the total moment = 0.00 μB/f.u.

Cell: 5.788 5.788 5.788 Å, 146.82 119.37 70.90°
Element x y z (fractional)
Re 0.818 0.318 0.500
Re 0.999 0.999 0.000
Ba 0.492 0.492 0.000
Ni 0.191 0.691 0.500


(5)
VASP calculation (GGA-PBE) on a relaxed structure of BaReNi2.

## Properties
Energy above the most stable polymorph in this dataset = 0.717 eV/atom
DFT formation energy = 0.925 eV/atom
Size of the total moment = 0.01 μB/f.u.

Cell: 5.840 5.840 5.840 Å, 151.52 130.55 58.06°
Element x y z (fractional)
Re 0.464 0.464 0.000
Ba 0.750 0.250 0.500
Ni 0.031 0.031 0.000
Ni 0.256 0.756 0.500


(6)
VASP calculation (GGA-PBE) on a relaxed structure of BaReNi2.

## Properties
Energy above the most stable polymorph in this dataset = 0.426 eV/atom
DFT formation energy = 0.634 eV/atom
Size of the total moment = 0.00 μB/f.u.

Cell: 2.957 3.321 7.502 Å, 90.00 90.00 90.00°
Element x y z (fractional)
Re 0.000 0.000 0.405
Ni 0.000 0.000 0.085
Ni 0.500 0.500 0.248
Ba 0.500 0.500 0.762


(7)
VASP calculation (GGA-PBE) on a relaxed structure of Ba4ReNi.

## Properties
DFT formation energy = 1.590 eV/atom
Size of the total moment = 2.69 μB/f.u.

Cell: 6.847 6.847 6.847 Å, 60.00 60.00 60.00°
Element x y z (fractional)
Ni 0.750 0.750 0.750
Ba 0.876 0.375 0.375
Ba 0.375 0.375 0.876
Ba 0.375 0.876 0.375
Ba 0.375 0.375 0.375
Re 0.000 0.000 0.000


(8)
VASP calculation (GGA-PBE) on a relaxed structure of BaReNi2.

## Properties
Energy above the most stable polymorph in this dataset = 0.707 eV/atom
DFT formation energy = 0.915 eV/atom
Size of the total moment = 0.93 μB/f.u.

Cell: 5.069 5.069 5.069 Å, 131.71 110.39 89.21°
Element x y z (fractional)
Re 0.750 0.250 0.500
Ni 0.921 0.921 0.000
Ni 0.579 0.579 0.000
Ba 0.250 0.750 0.500


(9)
VASP calculation (GGA-PBE) on a relaxed structure of BaRe2Ni.

## Properties
Energy above the most stable polymorph in this dataset = 0.103 eV/atom
DFT formation energy = 0.553 eV/atom
Size of the total moment = 0.68 μB/f.u.

Cell: 3.180 3.173 8.485 Å, 67.79 90.00 90.00°
Element x y z (fractional)
Re 0.500 0.335 0.165
Re 0.000 0.000 0.001
Ni 0.500 0.676 0.824
Ba 0.000 0.489 0.509


(10)
VASP calculation (GGA-PBE) on a relaxed structure of BaRe2Ni.

## Properties
Energy above the most stable polymorph in this dataset = 0.633 eV/atom
DFT formation energy = 1.083 eV/atom
Size of the total moment = 0.00 μB/f.u.

Cell: 4.868 4.868 9.253 Å, 74.75 74.75 90.00°
Element x y z (fractional)
Ni 0.500 0.500 0.000
Ni 0.250 0.750 0.500
Re 0.375 0.625 0.750
Re 0.375 0.125 0.250
Re 0.875 0.625 0.750
Re 0.375 0.625 0.250
Ba 0.000 0.000 0.000
Ba 0.750 0.250 0.500


(11)
VASP calculation (GGA-PBE) on a relaxed structure of Ba2ReNi.

## Properties
Energy above the most stable polymorph in this dataset = 0.107 eV/atom
DFT formation energy = 0.665 eV/atom
Size of the total moment = 0.80 μB/f.u.

Cell: 3.480 3.478 9.523 Å, 90.00 90.00 90.00°
Element x y z (fractional)
Ni 0.000 0.000 0.589
Ba 0.000 0.000 0.912
Ba 0.500 0.500 0.344
Re 0.500 0.500 0.656


(12)
VASP calculation (GGA-PBE) on a relaxed structure of Ba2ReNi.

## Properties
Energy above the most stable polymorph in this dataset = 0.532 eV/atom
DFT formation energy = 1.090 eV/atom
Size of the total moment = 2.65 μB/f.u.

Cell: 3.644 3.644 8.385 Å, 90.00 90.00 90.00°
Element x y z (fractional)
Ba 0.000 0.000 0.013
Ba 0.000 0.000 0.487
Ni 0.500 0.500 0.250
Re 0.500 0.500 0.750


(13)
VASP calculation (GGA-PBE) on a relaxed structure of BaRe2Ni.

## Properties
Energy above the most stable polymorph in this dataset = 0.414 eV/atom
DFT formation energy = 0.863 eV/atom
Size of the total moment = 0.00 μB/f.u.

Cell: 3.214 3.214 7.747 Å, 90.00 90.00 90.00°
Element x y z (fractional)
Re 0.000 0.000 0.598
Re 0.000 0.000 0.902
Ba 0.500 0.500 0.250
Ni 0.500 0.500 0.750


(14)
VASP calculation (GGA-PBE) on a relaxed structure of Ba2ReNi.

## Properties
Energy above the most stable polymorph in this dataset = 0.652 eV/atom
DFT formation energy = 1.210 eV/atom
Size of the total moment = 2.95 μB/f.u.

Cell: 5.292 5.292 5.292 Å, 60.00 60.00 60.00°
Element x y z (fractional)
Re 0.750 0.750 0.750
Ba 0.000 0.000 0.000
Ba 0.250 0.250 0.250
Ni 0.500 0.500 0.500


(15)
VASP calculation (GGA-PBE) on a relaxed structure of BaReNi2.

## Properties
Energy above the most stable polymorph in this dataset = 1.090 eV/atom
DFT formation energy = 1.298 eV/atom
Size of the total moment = 1.89 μB/f.u.

Cell: 4.651 4.651 4.651 Å, 60.00 60.00 60.00°
Element x y z (fractional)
Ni 0.250 0.250 0.250
Ni 0.000 0.000 0.000
Ba 0.500 0.500 0.500
Re 0.750 0.750 0.750


(16)
VASP calculation (GGA-PBE) on a relaxed structure of Ba2ReNi.

## Properties
Energy above the most stable polymorph in this dataset = 0.738 eV/atom
DFT formation energy = 1.295 eV/atom
Size of the total moment = 0.99 μB/f.u.

Cell: 9.805 9.805 9.805 Å, 21.03 21.03 21.03°
Element x y z (fractional)
Ba 0.996 0.996 0.996
Ba 0.504 0.504 0.504
Ni 0.250 0.250 0.250
Re 0.750 0.750 0.750


(17)
VASP calculation (GGA-PBE) on a relaxed structure of BaRe2Ni.

## Properties
Energy above the most stable polymorph in this dataset = 1.284 eV/atom
DFT formation energy = 1.734 eV/atom
Size of the total moment = 0.00 μB/f.u.

Cell: 4.633 4.633 4.633 Å, 60.00 60.00 60.00°
Element x y z (fractional)
Ba 0.500 0.500 0.500
Ni 0.000 0.000 0.000
Re 0.250 0.250 0.250
Re 0.750 0.750 0.750


(18)
VASP calculation (GGA-PBE) on a relaxed structure of Ba3ReNi.

## Properties
Energy above the most stable polymorph in this dataset = 0.000 eV/atom
DFT formation energy = 1.033 eV/atom
Size of the total moment = 0.47 μB/f.u.

Cell: 5.871 5.871 5.871 Å, 90.00 90.00 90.00°
Element x y z (fractional)
Re 0.000 0.000 0.000
Ba 0.000 0.500 0.000
Ba 0.000 0.000 0.500
Ba 0.500 0.000 0.000
Ni 0.500 0.500 0.500


(19)
VASP calculation (GGA-PBE) on a relaxed structure of BaReNi2.

## Properties
Energy above the most stable polymorph in this dataset = 0.000 eV/atom
DFT formation energy = 0.208 eV/atom
Size of the total moment = 0.00 μB/f.u.

Cell: 4.197 4.197 6.210 Å, 70.26 70.26 60.00°
Element x y z (fractional)
Ba 0.750 0.750 0.750
Ni 0.565 0.565 0.307
Ni 0.935 0.935 0.193
Re 0.250 0.250 0.250


(20)
VASP calculation (GGA-PBE) on a relaxed structure of Ba2ReNi.

## Properties
Energy above the most stable polymorph in this dataset = 0.730 eV/atom
DFT formation energy = 1.288 eV/atom
Size of the total moment = 2.84 μB/f.u.

Cell: 8.544 8.544 6.814 Å, 51.17 51.17 90.00°
Element x y z (fractional)
Ba 0.375 0.413 0.750
Ba 0.587 0.125 0.250
Ba 0.163 0.625 0.250
Ba 0.875 0.837 0.750
Re 0.000 0.000 0.000
Re 0.750 0.250 0.500
Ni 0.500 0.500 0.000
Ni 0.250 0.750 0.500


(21)
VASP calculation (GGA-PBE) on a relaxed structure of BaReNi2.

## Properties
Energy above the most stable polymorph in this dataset = 0.896 eV/atom
DFT formation energy = 1.104 eV/atom
Size of the total moment = 3.61 μB/f.u.

Cell: 4.742 4.742 4.742 Å, 60.00 60.00 60.00°
Element x y z (fractional)
Ba 0.000 0.000 0.000
Ni 0.750 0.750 0.750
Ni 0.250 0.250 0.250
Re 0.500 0.500 0.500


(22)
VASP calculation (GGA-PBE) on a relaxed structure of BaRe2Ni.

## Properties
Energy above the most stable polymorph in this dataset = 0.782 eV/atom
DFT formation energy = 1.232 eV/atom
Size of the total moment = 0.00 μB/f.u.

Cell: 4.374 6.244 3.124 Å, 76.06 88.49 110.10°
Element x y z (fractional)
Re 0.000 0.000 0.000
Re 0.500 0.000 0.500
Ni 0.500 0.500 0.000
Ba 0.000 0.500 0.500


(23)
VASP calculation (GGA-PBE) on a relaxed structure of BaReNi2.

## Properties
Energy above the most stable polymorph in this dataset = 0.480 eV/atom
DFT formation energy = 0.688 eV/atom
Size of the total moment = 0.47 μB/f.u.

Cell: 5.047 5.047 8.534 Å, 72.80 72.80 90.00°
Element x y z (fractional)
Re 0.000 0.000 0.000
Re 0.750 0.250 0.500
Ba 0.500 0.500 0.000
Ba 0.250 0.750 0.500
Ni 0.875 0.625 0.250
Ni 0.875 0.125 0.750
Ni 0.375 0.125 0.750
Ni 0.875 0.125 0.250


(24)
VASP calculation (GGA-PBE) on a relaxed structure of BaReSiNi2.

## Properties
Uncorrected formation energy = 2.745 eV per atom
Size of the total moment = 0.08 μB/f.u.

Cell: 4.645 5.320 4.645 Å, 90.00 90.00 90.00°
Element x y z (fractional)
Ni 0.500 0.000 0.000
Ni 0.000 0.000 0.500
Ba 0.000 0.000 0.000
Si 0.000 0.500 0.000
Re 0.500 0.500 0.500


(25)
VASP calculation (GGA-PBE) on a relaxed structure of BaTlReNi2.

## Properties
DFT formation energy = 0.611 eV/atom
Size of the total moment = 0.00 μB/f.u.

Cell: 4.789 5.276 4.789 Å, 90.00 90.00 90.00°
Element x y z (fractional)
Re 0.000 0.000 0.000
Ni 0.000 0.000 0.500
Ni 0.500 0.000 0.000
Ba 0.500 0.500 0.500
Tl 0.000 0.500 0.000


(26)
VASP calculation (GGA-PBE) on a relaxed structure of Ba2ZrReNi.

## Properties
DFT formation energy = 1.267 eV/atom
Size of the total moment = 2.15 μB/f.u.

Cell: 5.771 4.909 5.771 Å, 90.00 90.00 90.00°
Element x y z (fractional)
Zr 0.000 0.500 0.000
Re 0.500 0.500 0.500
Ba 0.000 0.000 0.500
Ba 0.500 0.000 0.000
Ni 0.000 0.000 0.000


(27)
VASP calculation (GGA-PBE) on a relaxed structure of Ba2NiRh.

## Properties
DFT formation energy = -0.161 eV/atom
Size of the total moment = 0.47 μB/f.u.

Cell: 4.350 4.350 8.896 Å, 75.85 75.85 60.00°
Element x y z (fractional)
Ba 0.470 0.470 0.589
Ba 0.310 0.310 0.070
Rh 0.057 0.057 0.829
Ni 0.723 0.723 0.830


(28)
VASP calculation (GGA-PBE) on a relaxed structure of BaNiRh4.

## Properties
DFT formation energy = 0.401 eV/atom
Size of the total moment = 3.13 μB/f.u.

Cell: 5.380 5.380 5.380 Å, 60.00 60.00 60.00°
Element x y z (fractional)
Rh 0.374 0.374 0.374
Rh 0.374 0.374 0.878
Rh 0.878 0.374 0.374
Rh 0.374 0.878 0.374
Ni 0.000 0.000 0.000
Ba 0.750 0.750 0.750


(29)
VASP calculation (GGA-PBE) on a relaxed structure of BaNi4Rh.

## Properties
DFT formation energy = 0.358 eV/atom
Size of the total moment = 2.38 μB/f.u.

Cell: 5.074 5.074 5.074 Å, 60.00 60.00 60.00°
Element x y z (fractional)
Ni 0.377 0.377 0.377
Ni 0.868 0.377 0.377
Ni 0.377 0.868 0.377
Ni 0.377 0.377 0.868
Rh 0.750 0.750 0.750
Ba 0.000 0.000 0.000